No. 1
Material: Pm2TlGa3Pt4
Method: DFT, PBE-GGA
State: relaxed

Structure (CIF):
```
data_Pm2TlGa3Pt4
_cell_length_a 4.1510
_cell_length_b 4.1510
_cell_length_c 11.6970
_cell_angle_alpha 90.00
_cell_angle_beta 90.00
_cell_angle_gamma 90.00
_symmetry_space_group_name_H-M 'P -4 m 2'
_symmetry_Int_Tables_number 115
loop_
_symmetry_equiv_pos_as_xyz
'x,y,z'
'y,-x,-z'
'-x,-y,z'
'-y,x,-z'
'-x,y,z'
'-y,-x,-z'
'x,-y,z'
'y,x,-z'
loop_
_atom_site_label
_atom_site_type_symbol
_atom_site_fract_x
_atom_site_fract_y
_atom_site_fract_z
Pm1 Pm 0.0000 0.5000 0.2404
Tl1 Tl 0.0000 0.0000 0.5000
Ga1 Ga 0.0000 0.5000 0.8742
Ga2 Ga 0.5000 0.5000 0.5000
Pt1 Pt 0.0000 0.0000 0.0000
Pt2 Pt 0.0000 0.5000 0.6635
Pt3 Pt 0.5000 0.5000 0.0000
```

Summary:
- Calculated total energy: -5.3388 eV/atom
- Size of the total moment: 0.00 μB/cell
- DOS(E_F): 3.73 states/eV per cell

=====

No. 2
Material: PmTmGaPt
Method: DFT, PBE-GGA
State: relaxed

Structure (CIF):
```
data_PmTmGaPt
_cell_length_a 4.3641
_cell_length_b 3.8220
_cell_length_c 11.1930
_cell_angle_alpha 90.00
_cell_angle_beta 90.00
_cell_angle_gamma 90.00
_symmetry_space_group_name_H-M 'A m m 2'
_symmetry_Int_Tables_number 38
loop_
_symmetry_equiv_pos_as_xyz
'x,y,z'
'-x,-y,z'
'-x,y,z'
'x,-y,z'
'x,y+1/2,z+1/2'
'-x,-y+1/2,z+1/2'
'-x,y+1/2,z+1/2'
'x,-y+1/2,z+1/2'
loop_
_atom_site_label
_atom_site_type_symbol
_atom_site_fract_x
_atom_site_fract_y
_atom_site_fract_z
Pm1 Pm 0.0000 0.0000 0.0000
Tm1 Tm 0.5000 0.0000 0.7137
Ga1 Ga 0.5000 0.0000 0.4232
Pt1 Pt 0.0000 0.0000 0.2713
```

Summary:
- Calculated total energy: -5.4815 eV/atom
- Size of the total moment: 0.00 μB/cell
- DOS(E_F): 7.47 states/eV per cell

=====

No. 3
Material: PmTmGa2Pt2
Method: DFT, PBE-GGA
State: relaxed

Structure (CIF):
```
data_PmTmGa2Pt2
_cell_length_a 4.4735
_cell_length_b 4.4735
_cell_length_c 7.0391
_cell_angle_alpha 90.00
_cell_angle_beta 90.00
_cell_angle_gamma 120.00
_symmetry_space_group_name_H-M 'P -3 m 1'
_symmetry_Int_Tables_number 164
_symmetry_space_group_name_Hall '-P 3 2"'
loop_
_atom_site_label
_atom_site_type_symbol
_atom_site_fract_x
_atom_site_fract_y
_atom_site_fract_z
Pm1 Pm 0.0000 0.0000 0.0000
Tm1 Tm 0.0000 0.0000 0.5000
Ga1 Ga 0.3333 0.6667 0.2728
Pt1 Pt 0.3333 0.6667 0.7258
```

Summary:
- Calculated total energy: -5.6247 eV/atom
- Size of the total moment: 0.00 μB/cell
- DOS(E_F): 3.24 states/eV per cell

=====

No. 4
Material: PmTmGaPt
Method: DFT, PBE-GGA
State: relaxed

Structure (CIF):
```
data_PmTmGaPt
_cell_length_a 7.1310
_cell_length_b 7.1310
_cell_length_c 7.1310
_cell_angle_alpha 90.00
_cell_angle_beta 90.00
_cell_angle_gamma 90.00
_symmetry_space_group_name_H-M 'F -4 3 m'
_symmetry_Int_Tables_number 216
_symmetry_space_group_name_Hall 'F -4 2 3'
loop_
_atom_site_label
_atom_site_type_symbol
_atom_site_fract_x
_atom_site_fract_y
_atom_site_fract_z
Pm1 Pm 0.0000 0.0000 0.0000
Tm1 Tm 0.0000 0.0000 0.5000
Ga1 Ga 0.2500 0.2500 0.2500
Pt1 Pt 0.2500 0.2500 0.7500
```

Summary:
- Calculated total energy: -5.3966 eV/atom
- Size of the total moment: 0.00 μB/cell
- DOS(E_F): 12.09 states/eV per cell

=====

No. 5
Material: PmTmGa5Pt2
Method: DFT, PBE-GGA
State: relaxed

Structure (CIF):
```
data_PmTmGa5Pt2
_cell_length_a 4.6747
_cell_length_b 4.6747
_cell_length_c 9.5693
_cell_angle_alpha 90.00
_cell_angle_beta 90.00
_cell_angle_gamma 90.00
_symmetry_space_group_name_H-M 'P 4/m m m'
_symmetry_Int_Tables_number 123
_symmetry_space_group_name_Hall '-P 4 2'
loop_
_atom_site_label
_atom_site_type_symbol
_atom_site_fract_x
_atom_site_fract_y
_atom_site_fract_z
Pm1 Pm 0.0000 0.0000 0.0000
Tm1 Tm 0.0000 0.0000 0.5000
Ga1 Ga 0.0000 0.5000 0.3113
Ga2 Ga 0.5000 0.5000 0.0000
Pt1 Pt 0.5000 0.5000 0.2408
```

Summary:
- Calculated total energy: -4.4082 eV/atom
- Size of the total moment: 0.00 μB/cell
- DOS(E_F): 4.86 states/eV per cell

=====

No. 6
Material: PmTmGa2Pt5
Method: DFT, PBE-GGA
State: relaxed

Structure (CIF):
```
data_PmTmGa2Pt5
_cell_length_a 4.2013
_cell_length_b 4.2013
_cell_length_c 9.3529
_cell_angle_alpha 90.00
_cell_angle_beta 90.00
_cell_angle_gamma 90.00
_symmetry_space_group_name_H-M 'P 4/m m m'
_symmetry_Int_Tables_number 123
_symmetry_space_group_name_Hall '-P 4 2'
loop_
_atom_site_label
_atom_site_type_symbol
_atom_site_fract_x
_atom_site_fract_y
_atom_site_fract_z
Pm1 Pm 0.0000 0.0000 0.0000
Tm1 Tm 0.0000 0.0000 0.5000
Ga1 Ga 0.5000 0.5000 0.3709
Pt1 Pt 0.0000 0.5000 0.2300
Pt2 Pt 0.5000 0.5000 0.0000
```

Summary:
- Calculated total energy: -5.9558 eV/atom
- Size of the total moment: 0.00 μB/cell
- DOS(E_F): 3.86 states/eV per cell

=====

No. 7
Material: Pm2UGa3Pt4
Method: DFT, PBE-GGA
State: relaxed

Structure (CIF):
```
data_Pm2UGa3Pt4
_cell_length_a 4.3445
_cell_length_b 4.3445
_cell_length_c 11.0165
_cell_angle_alpha 90.00
_cell_angle_beta 90.00
_cell_angle_gamma 90.00
_symmetry_space_group_name_H-M 'P -4 m 2'
_symmetry_Int_Tables_number 115
loop_
_symmetry_equiv_pos_as_xyz
'x,y,z'
'y,-x,-z'
'-x,-y,z'
'-y,x,-z'
'-x,y,z'
'-y,-x,-z'
'x,-y,z'
'y,x,-z'
loop_
_atom_site_label
_atom_site_type_symbol
_atom_site_fract_x
_atom_site_fract_y
_atom_site_fract_z
Pm1 Pm 0.0000 0.5000 0.2267
U1 U 0.0000 0.0000 0.5000
Ga1 Ga 0.0000 0.5000 0.8786
Ga2 Ga 0.5000 0.5000 0.5000
Pt1 Pt 0.0000 0.0000 0.0000
Pt2 Pt 0.0000 0.5000 0.6531
Pt3 Pt 0.5000 0.5000 0.0000
```

Summary:
- Calculated total energy: -6.2318 eV/atom
- Size of the total moment: 2.45 μB/cell
- DOS(E_F): 12.28 states/eV per cell

=====

No. 8
Material: Pm2VGa3Pt4
Method: DFT, PBE-GGA
State: relaxed

Structure (CIF):
```
data_Pm2VGa3Pt4
_cell_length_a 4.1603
_cell_length_b 4.1603
_cell_length_c 10.9658
_cell_angle_alpha 90.00
_cell_angle_beta 90.00
_cell_angle_gamma 90.00
_symmetry_space_group_name_H-M 'P -4 m 2'
_symmetry_Int_Tables_number 115
loop_
_symmetry_equiv_pos_as_xyz
'x,y,z'
'y,-x,-z'
'-x,-y,z'
'-y,x,-z'
'-x,y,z'
'-y,-x,-z'
'x,-y,z'
'y,x,-z'
loop_
_atom_site_label
_atom_site_type_symbol
_atom_site_fract_x
_atom_site_fract_y
_atom_site_fract_z
Pm1 Pm 0.0000 0.5000 0.2486
V1 V 0.0000 0.0000 0.5000
Ga1 Ga 0.0000 0.5000 0.8646
Ga2 Ga 0.5000 0.5000 0.5000
Pt1 Pt 0.0000 0.0000 0.0000
Pt2 Pt 0.0000 0.5000 0.6363
Pt3 Pt 0.5000 0.5000 0.0000
```

Summary:
- Calculated total energy: -6.0542 eV/atom
- Size of the total moment: 1.44 μB/cell
- DOS(E_F): 6.25 states/eV per cell

=====

No. 9
Material: Pm2VGa4Pt3
Method: DFT, PBE-GGA
State: relaxed

Structure (CIF):
```
data_Pm2VGa4Pt3
_cell_length_a 4.1837
_cell_length_b 4.1837
_cell_length_c 10.9805
_cell_angle_alpha 90.00
_cell_angle_beta 90.00
_cell_angle_gamma 90.00
_symmetry_space_group_name_H-M 'P -4 m 2'
_symmetry_Int_Tables_number 115
loop_
_symmetry_equiv_pos_as_xyz
'x,y,z'
'y,-x,-z'
'-x,-y,z'
'-y,x,-z'
'-x,y,z'
'-y,-x,-z'
'x,-y,z'
'y,x,-z'
loop_
_atom_site_label
_atom_site_type_symbol
_atom_site_fract_x
_atom_site_fract_y
_atom_site_fract_z
Pm1 Pm 0.0000 0.5000 0.2488
V1 V 0.5000 0.5000 0.0000
Ga1 Ga 0.0000 0.0000 0.5000
Ga2 Ga 0.0000 0.5000 0.8628
Ga3 Ga 0.5000 0.5000 0.5000
Pt1 Pt 0.0000 0.0000 0.0000
Pt2 Pt 0.0000 0.5000 0.6343
```

Summary:
- Calculated total energy: -5.6714 eV/atom
- Size of the total moment: 1.48 μB/cell
- DOS(E_F): 7.47 states/eV per cell

=====

No. 10
Material: PmYGa2Pt5
Method: DFT, PBE-GGA
State: relaxed

Structure (CIF):
```
data_PmYGa2Pt5
_cell_length_a 4.2114
_cell_length_b 4.2114
_cell_length_c 9.3799
_cell_angle_alpha 90.00
_cell_angle_beta 90.00
_cell_angle_gamma 90.00
_symmetry_space_group_name_H-M 'P 4/m m m'
_symmetry_Int_Tables_number 123
_symmetry_space_group_name_Hall '-P 4 2'
loop_
_atom_site_label
_atom_site_type_symbol
_atom_site_fract_x
_atom_site_fract_y
_atom_site_fract_z
Pm1 Pm 0.0000 0.0000 0.0000
Y1 Y 0.0000 0.0000 0.5000
Ga1 Ga 0.5000 0.5000 0.3695
Pt1 Pt 0.0000 0.5000 0.2285
Pt2 Pt 0.5000 0.5000 0.0000
```

Summary:
- Calculated total energy: -6.1944 eV/atom
- Size of the total moment: 0.00 μB/cell
- DOS(E_F): 3.91 states/eV per cell

=====

No. 11
Material: Pm2YGa3Pt4
Method: DFT, PBE-GGA
State: relaxed

Structure (CIF):
```
data_Pm2YGa3Pt4
_cell_length_a 4.2284
_cell_length_b 4.2284
_cell_length_c 11.5289
_cell_angle_alpha 90.00
_cell_angle_beta 90.00
_cell_angle_gamma 90.00
_symmetry_space_group_name_H-M 'P -4 m 2'
_symmetry_Int_Tables_number 115
loop_
_symmetry_equiv_pos_as_xyz
'x,y,z'
'y,-x,-z'
'-x,-y,z'
'-y,x,-z'
'-x,y,z'
'-y,-x,-z'
'x,-y,z'
'y,x,-z'
loop_
_atom_site_label
_atom_site_type_symbol
_atom_site_fract_x
_atom_site_fract_y
_atom_site_fract_z
Pm1 Pm 0.0000 0.5000 0.2270
Y1 Y 0.0000 0.0000 0.5000
Ga1 Ga 0.0000 0.5000 0.8756
Ga2 Ga 0.5000 0.5000 0.5000
Pt1 Pt 0.0000 0.0000 0.0000
Pt2 Pt 0.0000 0.5000 0.6593
Pt3 Pt 0.5000 0.5000 0.0000
```

Summary:
- Calculated total energy: -5.8960 eV/atom
- Size of the total moment: 0.00 μB/cell
- DOS(E_F): 6.55 states/eV per cell

=====

No. 12
Material: Pm2ZnGa2Pt5
Method: DFT, PBE-GGA
State: relaxed

Structure (CIF):
```
data_Pm2ZnGa2Pt5
_cell_length_a 9.9948
_cell_length_b 9.9948
_cell_length_c 3.6807
_cell_angle_alpha 90.00
_cell_angle_beta 90.00
_cell_angle_gamma 90.00
_symmetry_space_group_name_H-M 'P 4/m b m'
_symmetry_Int_Tables_number 127
_symmetry_space_group_name_Hall '-P 4 2ab'
loop_
_atom_site_label
_atom_site_type_symbol
_atom_site_fract_x
_atom_site_fract_y
_atom_site_fract_z
Pm1 Pm 0.1768 0.3232 0.0000
Zn1 Zn 0.0000 0.0000 0.0000
Ga1 Ga 0.1237 0.6237 0.0000
Pt1 Pt 0.0000 0.5000 0.5000
Pt2 Pt 0.0563 0.7979 0.5000
```

Summary:
- Calculated total energy: -5.4842 eV/atom
- Size of the total moment: 0.00 μB/cell
- DOS(E_F): 11.91 states/eV per cell